Here is crystalline BaHf2PCl at its relaxed geometry from the Alexandria database. Energies are from PBE-GGA.

a = 4.841 Å, b = 7.230 Å, c = 4.841 Å
α = 90.00°, β = 90.00°, γ = 90.00°
Last column: magnetic moment on the atom in μB.
Fractional coordinates of all 5 atoms:
Ba (0.500, 0.500, 0.500)  0.09
Cl (0.000, 0.500, 0.000)  0.03
Hf (0.500, 0.000, 0.000)  0.46
Hf (0.000, 0.000, 0.500)  0.76
P (0.000, 0.000, 0.000)  -0.03

## Properties
DOS at the Fermi energy = 0.93 states/eV/atom
raw formation energy = -1.07 eV/f.u.
calculated volume = 33.894 Å³/atom